# 1
Crystalline Zr2NiSb at its relaxed geometry, computed with PBE.

Properties
energy	-0.525	Ry/atom
ΔE_f (raw)	-398	meV/atom
total magnetic moment	0.000	μB per formula unit

Cell: 4.323 4.323 8.245 Å, 90.00 90.00 90.00°
Space group I4/mmm (No. 139)
Asymmetric unit:
Zr: 0.000 0.500 0.250 [4 per cell]
Ni: 0.000 0.000 0.000 [2 per cell]
Sb: 0.000 0.000 0.500 [2 per cell]



# 2
Crystalline Rb2SO at its relaxed geometry, computed with PBE.

Properties
energy	-0.253	Ry/atom
ΔE_f (raw)	-687	meV/atom
total magnetic moment	0.000	μB per formula unit

Cell: 10.800 10.800 4.190 Å, 90.00 90.00 90.00°
Space group I-42d (No. 122)
Asymmetric unit:
Rb: 0.049 0.750 0.125 [8 per cell]
S: 0.000 0.000 0.500 [4 per cell]
O: 0.000 0.000 0.000 [4 per cell]



# 3
Crystalline BiPt2I at its relaxed geometry, computed with PBE.

Properties
energy	-0.306	Ry/atom
ΔE_f (raw)	219	meV/atom
total magnetic moment	0.000	μB per formula unit

Cell: 6.744 6.744 10.052 Å, 90.00 90.00 90.00°
Space group I-42d (No. 122)
Asymmetric unit:
Bi: 0.000 0.000 0.000 [4 per cell]
Pt: 0.250 0.250 0.125 [8 per cell]
I: 0.000 0.000 0.500 [4 per cell]